(1)
A plane-wave DFT calculation with PBE was carried out for a geometry-optimized Ba2Na6Li structure.

Summary:
- Space-group type: C2/m (12)
- Density: 1.9 g cm⁻³
- VASP energy: -13.5 eV for the cell shown
- ΔE_f: 18 meV/atom

abc: 7.740 7.474 7.474
angles: 60.13 90.20 90.20
Atoms (fractional coordinates):
Ba 0.874 0.666 0.666
Ba 0.126 0.334 0.334
Na 0.331 0.348 0.828
Na 0.328 0.828 0.828
Na 0.331 0.828 0.348
Na 0.669 0.652 0.172
Na 0.672 0.172 0.172
Na 0.669 0.172 0.652
Li 0.000 0.000 0.000

(2)
A plane-wave DFT calculation with PBE was carried out for a geometry-optimized Sr3Al2Au4 structure.

Summary:
- Space-group type: C2/m (12)
- Density: 8.0 g cm⁻³
- VASP energy: -31.8 eV for the cell shown
- ΔE_f: -685 meV/atom

abc: 4.618 6.310 9.112
angles: 110.22 90.00 111.46
Atoms (fractional coordinates):
Sr 0.625 0.251 0.696
Sr 0.000 0.000 0.000
Sr 0.375 0.749 0.304
Al 0.674 0.348 0.342
Al 0.326 0.652 0.658
Au 0.719 0.438 0.082
Au 0.281 0.562 0.918
Au 0.892 0.784 0.584
Au 0.108 0.216 0.416

(3)
A plane-wave DFT calculation with PBE was carried out for a geometry-optimized CePm4Ga4 structure.

Summary:
- Space-group type: P4_2/n (86)
- Density: 7.3 g cm⁻³
- VASP energy: -79.5 eV for the cell shown
- ΔE_f: -301 meV/atom

abc: 5.992 8.698 8.698
angles: 90.00 90.00 90.00
Atoms (fractional coordinates):
Ce 0.000 0.000 0.000
Ce 0.500 0.500 0.500
Pm 0.386 0.428 0.822
Pm 0.886 0.678 0.928
Pm 0.386 0.572 0.178
Pm 0.114 0.072 0.678
Pm 0.614 0.822 0.572
Pm 0.114 0.928 0.322
Pm 0.886 0.322 0.072
Pm 0.614 0.178 0.428
Ga 0.600 0.908 0.198
Ga 0.600 0.092 0.802
Ga 0.100 0.698 0.592
Ga 0.900 0.408 0.698
Ga 0.900 0.592 0.302
Ga 0.400 0.198 0.092
Ga 0.400 0.802 0.908
Ga 0.100 0.302 0.408

(4)
A plane-wave DFT calculation with PBE was carried out for a geometry-optimized Ti6VRu5 structure.

Summary:
- Space-group type: Immm (71)
- Density: 7.9 g cm⁻³
- VASP energy: -110.4 eV for the cell shown
- ΔE_f: -629 meV/atom

abc: 4.364 6.179 7.566
angles: 114.10 106.76 90.00
Last column: magnetic moment on the atom in μB.
Atoms (fractional coordinates):
Ru 0.666 0.166 0.331  0.05
Ru 0.333 0.333 0.666  0.02
Ru 0.000 0.500 0.000  0.05
Ru 0.667 0.667 0.334  0.02
Ru 0.334 0.834 0.669  0.05
V 0.000 0.000 0.000  1.33
Ti 0.833 0.582 0.666  0.00
Ti 0.833 0.084 0.666  0.00
Ti 0.500 0.749 0.000  0.03
Ti 0.500 0.251 0.000  0.03
Ti 0.167 0.916 0.334  0.00
Ti 0.167 0.418 0.334  0.00

(5)
A plane-wave DFT calculation with PBE was carried out for a geometry-optimized RbSiPt structure.

Summary:
- Space-group type: I4/mmm (139)
- Density: 5.7 g cm⁻³
- Offset from the most stable computed form: 0.196 eV per atom
- VASP energy: -26.7 eV for the cell shown
- Energy relative to the elements, uncorrected: -308 meV/atom

abc: 4.067 4.067 11.320
angles: 100.35 100.35 90.00
Atoms (fractional coordinates):
Rb 0.350 0.350 0.700
Rb 0.650 0.650 0.300
Si 0.065 0.065 0.131
Si 0.935 0.935 0.869
Pt 0.000 0.500 0.000
Pt 0.500 0.000 0.000

(6)
A plane-wave DFT calculation with PBE was carried out for a geometry-optimized KYTeN2 structure.

Summary:
- Space-group type: P4/mmm (123)
- Density: 3.5 g cm⁻³
- Offset from the most stable computed form: 1.123 eV per atom
- VASP energy: -20.2 eV for the cell shown
- Energy relative to the elements, uncorrected: 1425 meV/atom

abc: 4.670 4.670 6.214
angles: 90.00 90.00 90.00
Last column: magnetic moment on the atom in μB.
Atoms (fractional coordinates):
Y 0.500 0.500 0.500  -0.21
K 0.000 0.000 0.000  0.13
Te 0.000 0.000 0.500  0.09
N 0.000 0.500 0.000  1.42
N 0.500 0.000 0.000  1.42

(7)
A plane-wave DFT calculation with PBE was carried out for a geometry-optimized Sm2SnH structure.

Summary:
- Space-group type: I-4m2 (119)
- Density: 7.7 g cm⁻³
- Offset from the most stable computed form: 0.067 eV per atom
- VASP energy: -19.3 eV for the cell shown

abc: 4.100 4.101 6.095
angles: 109.64 109.64 90.02
Last column: magnetic moment on the atom in μB.
Atoms (fractional coordinates):
Sm 0.875 0.535 0.535  0.20
Sm 0.568 0.228 0.922  0.20
Sn 0.221 0.881 0.228  0.01
H 0.471 0.631 0.728  0.00

(8)
A plane-wave DFT calculation with PBE was carried out for a geometry-optimized P5Pt structure.

Summary:
- Space-group type: P4/mmm (123)
- Density: 4.9 g cm⁻³
- Offset from the most stable computed form: 0.446 eV per atom
- VASP energy: -30.8 eV for the cell shown
- ΔE_f: 383 meV/atom

abc: 3.339 3.339 10.565
angles: 90.00 90.00 90.00
Atoms (fractional coordinates):
P 0.000 0.000 0.898
P 0.000 0.000 0.102
P 0.500 0.500 0.602
P 0.500 0.500 0.398
P 0.000 0.000 0.500
Pt 0.500 0.500 0.000

(9)
A plane-wave DFT calculation with PBE was carried out for a geometry-optimized Th3SbIrOs structure.

Summary:
- Space-group type: P2_1/m (11)
- Density: 12.2 g cm⁻³
- VASP energy: -100.3 eV for the cell shown
- Energy relative to the elements, uncorrected: -615 meV/atom

abc: 4.336 8.367 10.052
angles: 115.91 90.00 90.00
Atoms (fractional coordinates):
Th 0.250 0.737 0.483
Th 0.750 0.930 0.130
Th 0.750 0.489 0.148
Th 0.750 0.263 0.517
Th 0.250 0.511 0.852
Th 0.250 0.070 0.870
Sb 0.750 0.725 0.735
Sb 0.250 0.275 0.265
Ir 0.250 0.727 0.165
Ir 0.750 0.273 0.835
Os 0.250 0.102 0.610
Os 0.750 0.898 0.390

(10)
A plane-wave DFT calculation with PBE was carried out for a geometry-optimized MnFe2Co structure.

Summary:
- Space-group type: Cm (8)
- Density: 8.4 g cm⁻³
- VASP energy: -32.8 eV for the cell shown
- ΔE_f: 90 meV/atom

abc: 4.328 4.328 4.357
angles: 80.37 80.37 33.65
Last column: magnetic moment on the atom in μB.
Atoms (fractional coordinates):
Co 0.248 0.248 0.247  1.08
Fe 0.998 0.998 0.009  2.08
Fe 0.751 0.751 0.743  2.10
Mn 0.502 0.502 0.501  -1.91

(11)
A plane-wave DFT calculation with PBE was carried out for a geometry-optimized LaTbRh4 structure.

Summary:
- Space-group type: F-43m (216)
- Density: 10.6 g cm⁻³
- VASP energy: -43.1 eV for the cell shown
- ΔE_f: -697 meV/atom

abc: 5.400 5.400 5.400
angles: 60.00 60.00 60.00
Atoms (fractional coordinates):
Rh 0.625 0.625 0.126
Rh 0.625 0.126 0.625
Rh 0.625 0.625 0.625
Rh 0.126 0.625 0.625
Tb 0.250 0.250 0.250
La 0.000 0.000 0.000

(12)
A plane-wave DFT calculation with PBE was carried out for a geometry-optimized BaAlAs2 structure.

Summary:
- Space-group type: I-4m2 (119)
- Density: 5.1 g cm⁻³
- VASP energy: -15.3 eV for the cell shown
- ΔE_f: -91 meV/atom

abc: 6.119 6.119 6.119
angles: 137.66 137.66 61.43
Atoms (fractional coordinates):
As 0.000 0.000 0.000
As 0.250 0.750 0.500
Ba 0.500 0.500 0.000
Al 0.750 0.250 0.500

(13)
A plane-wave DFT calculation with PBE was carried out for a geometry-optimized YInS structure.

Summary:
- Space-group type: R-3m (166)
- Density: 4.9 g cm⁻³
- VASP energy: -33.3 eV for the cell shown
- Energy relative to the elements, uncorrected: -1109 meV/atom

abc: 4.576 4.576 9.165
angles: 75.54 75.54 60.00
Atoms (fractional coordinates):
S 0.294 0.294 0.119
S 0.706 0.706 0.881
In 0.149 0.149 0.553
In 0.851 0.851 0.447
Y 0.399 0.399 0.802
Y 0.601 0.601 0.198

(14)
A plane-wave DFT calculation with PBE was carried out for a geometry-optimized Ce4PuAs structure.

Summary:
- Space-group type: P2_1/c (14)
- Density: 9.4 g cm⁻³
- VASP energy: -179.5 eV for the cell shown
- ΔE_f: -361 meV/atom

abc: 7.943 9.851 8.916
angles: 90.00 90.00 62.37
Last column: magnetic moment on the atom in μB.
Atoms (fractional coordinates):
Ce 0.239 0.979 0.534  -0.03
Ce 0.914 0.121 0.852  -0.02
Ce 0.545 0.111 0.118  0.05
Ce 0.466 0.292 0.719  -0.03
Ce 0.034 0.208 0.219  -0.03
Ce 0.955 0.389 0.618  0.05
Ce 0.586 0.379 0.352  -0.02
Ce 0.739 0.479 0.966  -0.03
Ce 0.261 0.521 0.034  -0.03
Ce 0.414 0.621 0.648  -0.02
Ce 0.045 0.611 0.382  0.05
Ce 0.966 0.792 0.781  -0.03
Ce 0.534 0.708 0.281  -0.03
Ce 0.455 0.889 0.882  0.05
Ce 0.086 0.879 0.148  -0.02
Ce 0.761 0.021 0.466  -0.03
Pu 0.772 0.242 0.599  2.63
Pu 0.728 0.258 0.099  2.63
Pu 0.272 0.742 0.901  2.63
Pu 0.228 0.758 0.401  2.63
As 0.188 0.253 0.914  0.01
As 0.312 0.247 0.414  0.01
As 0.688 0.753 0.586  0.01
As 0.812 0.747 0.086  0.01

(15)
A plane-wave DFT calculation with PBE was carried out for a geometry-optimized AcPrPPd structure.

Summary:
- Space-group type: F-43m (216)
- Density: 8.2 g cm⁻³
- VASP energy: -22.7 eV for the cell shown
- ΔE_f: -799 meV/atom

abc: 5.253 5.253 5.253
angles: 60.00 60.00 60.00
Last column: magnetic moment on the atom in μB.
Atoms (fractional coordinates):
Pr 0.250 0.250 0.250  0.24
P 0.500 0.500 0.500  -0.01
Ac 0.750 0.750 0.750  0.13
Pd 0.000 0.000 0.000  0.07

(16)
A plane-wave DFT calculation with PBE was carried out for a geometry-optimized MnSn2Se4 structure.

Summary:
- Space-group type: Cmcm (63)
- Density: 5.8 g cm⁻³
- VASP energy: -66.3 eV for the cell shown
- Energy relative to the elements, uncorrected: -291 meV/atom

abc: 3.874 6.845 13.591
angles: 90.00 90.00 106.44
Last column: magnetic moment on the atom in μB.
Atoms (fractional coordinates):
Mn 0.610 0.219 0.750  4.13
Mn 0.390 0.781 0.250  4.13
Sn 0.136 0.273 0.429  -0.01
Sn 0.864 0.727 0.929  -0.01
Sn 0.136 0.273 0.071  -0.01
Sn 0.864 0.727 0.571  -0.01
Se 0.785 0.570 0.132  -0.04
Se 0.785 0.570 0.368  -0.04
Se 0.215 0.430 0.868  -0.04
Se 0.215 0.430 0.632  -0.04
Se 0.977 0.954 0.750  -0.03
Se 0.023 0.046 0.250  -0.03
Se 0.500 0.000 0.000  0.00
Se 0.500 0.000 0.500  0.00

(17)
A plane-wave DFT calculation with PBE was carried out for a geometry-optimized Ac2TbPr2 structure.

Summary:
- Space-group type: C2/c (15)
- Density: 7.7 g cm⁻³
- Offset from the most stable computed form: 0.000 eV per atom
- VASP energy: -43.5 eV for the cell shown
- ΔE_f: 129 meV/atom

abc: 6.629 6.629 10.113
angles: 111.66 96.81 104.84
Atoms (fractional coordinates):
Ac 0.466 0.365 0.147
Ac 0.217 0.819 0.353
Ac 0.534 0.635 0.853
Ac 0.783 0.181 0.647
Tb 0.740 0.990 0.250
Tb 0.260 0.010 0.750
Pr 0.913 0.242 0.016
Pr 0.226 0.397 0.484
Pr 0.087 0.758 0.984
Pr 0.774 0.603 0.516

(18)
A plane-wave DFT calculation with PBE was carried out for a geometry-optimized Na4GaHg structure.

Summary:
- Space-group type: C2/c (15)
- Density: 3.5 g cm⁻³
- VASP energy: -18.3 eV for the cell shown
- ΔE_f: -92 meV/atom

abc: 5.822 8.383 8.383
angles: 114.00 101.51 101.51
Atoms (fractional coordinates):
Na 0.841 0.621 0.776
Na 0.073 0.934 0.300
Na 0.659 0.224 0.379
Na 0.427 0.700 0.066
Na 0.573 0.300 0.934
Na 0.341 0.776 0.621
Na 0.927 0.066 0.700
Na 0.159 0.379 0.224
Ga 0.250 0.002 0.998
Ga 0.750 0.998 0.002
Hg 0.750 0.625 0.375
Hg 0.250 0.375 0.625

(19)
A plane-wave DFT calculation with PBE was carried out for a geometry-optimized NbGaRu3 structure.

Summary:
- Space-group type: Pm-3m (221)
- Density: 7.3 g cm⁻³
- Offset from the most stable computed form: 0.536 eV per atom
- VASP energy: -33.5 eV for the cell shown
- ΔE_f: 1491 meV/atom

abc: 4.726 4.726 4.726
angles: 90.00 90.00 90.00
Last column: magnetic moment on the atom in μB.
Atoms (fractional coordinates):
Ru 0.000 0.500 0.000  0.84
Ru 0.000 0.000 0.500  0.98
Ru 0.500 0.000 0.000  0.59
Nb 0.000 0.000 0.000  -0.23
Ga 0.500 0.500 0.500  0.00

(20)
A plane-wave DFT calculation with PBE was carried out for a geometry-optimized NdThGa structure.

Summary:
- Space-group type: P3m1 (156)
- Density: 8.7 g cm⁻³
- Offset from the most stable computed form: 0.137 eV per atom
- VASP energy: -15.5 eV for the cell shown
- ΔE_f: -104 meV/atom

abc: 3.899 5.010 5.010
angles: 120.00 90.00 90.00
Atoms (fractional coordinates):
Nd 0.607 0.667 0.333
Ga 0.346 0.333 0.667
Th 0.047 0.000 0.000

Number 1: size of the total moment 0.00 μB per atom. Number 2: size of the total moment 0.00 μB per atom. Number 3: size of the total moment 0.00 μB per atom. Number 4: size of the total moment 0.15 μB per atom. Number 5: size of the total moment 0.00 μB per atom. Number 6: size of the total moment 0.80 μB per atom. Number 7: size of the total moment 0.22 μB per atom. Number 8: size of the total moment 0.00 μB per atom. Number 9: size of the total moment 0.00 μB per atom. Number 10: size of the total moment 0.82 μB per atom. Number 11: size of the total moment 0.00 μB per atom. Number 12: size of the total moment 0.00 μB per atom. Number 13: size of the total moment 0.00 μB per atom. Number 14: size of the total moment 0.40 μB per atom. Number 15: size of the total moment 0.21 μB per atom. Number 16: size of the total moment 0.61 μB per atom. Number 17: size of the total moment 0.00 μB per atom. Number 18: size of the total moment 0.00 μB per atom. Number 19: size of the total moment 0.44 μB per atom. Number 20: size of the total moment 0.00 μB per atom.